# 1
DFT (GGA-PBE) results for a relaxed KCu2AsS crystal.

* formation energy (no corrections): 0.25 eV per atom
* SG: P4/mmm (123)
* magnetic moment: 1.4 μB/cell
* E: -3.368 eV/atom
* DOS(E_F): 4.856 states/eV per cell

abc: 4.525 6.731 4.525
angles: 90.00 90.00 90.00
Last column: magnetic moment on the atom in μB.
Atoms (fractional coordinates):
S  0.500  0.500  0.500  0.58
As  0.000  0.000  0.000  0.11
K  0.000  0.500  0.000  0.00
Cu  0.000  0.000  0.500  0.03
Cu  0.500  0.000  0.000  0.09

=====

# 2
DFT (GGA-PBE) results for a relaxed KCuSbAs2 crystal.

* formation energy (no corrections): 0.33 eV per atom
* SG: P4/mmm (123)
* magnetic moment: 0.0 μB/cell
* E: -3.396 eV/atom
* DOS(E_F): 2.725 states/eV per cell

abc: 4.828 5.257 4.828
angles: 90.00 90.00 90.00
Atoms (fractional coordinates):
Sb  0.500  0.500  0.500
As  0.000  0.000  0.500
As  0.500  0.000  0.000
K  0.000  0.500  0.000
Cu  0.000  0.000  0.000

=====

# 3
DFT (GGA-PBE) results for a relaxed K4CuSb2As2 crystal.

* formation energy (no corrections): -0.25 eV per atom
* SG: C2/m (12)
* magnetic moment: 0.0 μB/cell
* E: -3.145 eV/atom
* DOS(E_F): 2.139 states/eV per cell

abc: 5.924 7.112 7.112
angles: 91.76 83.00 83.00
Atoms (fractional coordinates):
K  0.248  0.574  0.171
K  0.752  0.829  0.426
K  0.752  0.426  0.829
K  0.248  0.171  0.574
Cu  0.500  0.000  0.000
Sb  0.233  0.690  0.690
Sb  0.767  0.310  0.310
As  0.107  0.092  0.092
As  0.893  0.908  0.908

=====

# 4
DFT (GGA-PBE) results for a relaxed KCu4SbAs2 crystal.

* formation energy (no corrections): -0.07 eV per atom
* SG: P4/mmm (123)
* magnetic moment: 0.0 μB/cell
* E: -3.938 eV/atom
* DOS(E_F): 3.631 states/eV per cell

abc: 4.319 4.319 8.201
angles: 90.00 90.00 90.00
Atoms (fractional coordinates):
K  0.000  0.000  0.500
Cu  0.000  0.500  0.192
Cu  0.500  0.000  0.808
Cu  0.500  0.000  0.192
Cu  0.000  0.500  0.808
Sb  0.000  0.000  0.000
As  0.500  0.500  0.337
As  0.500  0.500  0.663

=====

- Number 2 is which compound?
  KCuSbAs2